Entry 1:
Here is a PBEsol-optimized structure of P2PtN from the Alexandria database. Energies are from meta-GGA SCAN.

Summary:
VASP energy: -99.6 eV/f.u.
space-group type: I-42d (122)
ρ: 7855 kg/m³
formation energy (no corrections): 4.1 kcal/mol of atoms

a = 4.9109 Å, b = 4.9109 Å, c = 5.8851 Å
α = 114.66°, β = 114.66°, γ = 90.00°
Closest atoms and distances in Å follow each position.
Fractional coordinates of all 8 atoms:
P: 0.8174 0.3750 0.2500  2 N 1.95
P: 0.4326 0.8750 0.2500  2 N 1.95
P: 0.6250 0.5674 0.7500  2 N 1.95
P: 0.1250 0.1826 0.7500  2 N 1.95
Pt: 0.2500 0.7500 0.5000  4 P 2.28
Pt: 0.0000 0.0000 0.0000  4 P 2.28
N: 0.7500 0.2500 0.5000  4 P 1.95
N: 0.5000 0.5000 0.0000  4 P 1.95

=====

Entry 2:
Here is a PBEsol-optimized structure of Hg4Pt from the Alexandria database. Energies are from meta-GGA SCAN.

Summary:
VASP energy: -343.6 eV/f.u.
space-group type: Im-3m (229)
calculated formation energy: -0.14 eV per atom
ρ: 13695 kg/m³

a = 5.3960 Å, b = 5.3960 Å, c = 5.3960 Å
α = 109.47°, β = 109.47°, γ = 109.47°
Closest atoms and distances in Å follow each position.
Fractional coordinates of all 5 atoms:
Hg: 0.0000 0.0000 0.5000  2 Pt 2.70
Hg: 0.0000 0.5000 0.0000  2 Pt 2.70
Hg: 0.5000 0.0000 0.0000  2 Pt 2.70
Hg: 0.5000 0.5000 0.5000  2 Pt 2.70
Pt: 0.0000 0.0000 0.0000  8 Hg 2.70

=====

Entry 3:
Here is a PBEsol-optimized structure of TiIn2O5 from the Alexandria database. Energies are from meta-GGA SCAN.

Summary:
VASP energy: -133.0 eV/f.u.
space-group type: Pnma (62)
ρ: 6230 kg/m³
formation energy (no corrections): -54.7 kcal/mol of atoms

a = 3.5028 Å, b = 7.2717 Å, c = 14.9641 Å
α = 90.00°, β = 90.00°, γ = 90.00°
Closest atoms and distances in Å follow each position.
Fractional coordinates of all 32 atoms:
Ti: 0.2500 0.1080 0.4225  4 O 1.82-2.02
Ti: 0.7500 0.8920 0.5775  4 O 1.82-2.02
Ti: 0.2500 0.6080 0.0775  4 O 1.82-2.02
Ti: 0.7500 0.3920 0.9225  4 O 1.82-2.02
In: 0.2500 0.0993 0.0835  6 O 2.19-2.24
In: 0.7500 0.9007 0.9165  6 O 2.19-2.24
In: 0.2500 0.5993 0.4165  6 O 2.19-2.24
In: 0.7500 0.4007 0.5835  6 O 2.19-2.24
In: 0.7500 0.3269 0.2394  6 O 2.12-2.24
In: 0.2500 0.6731 0.7606  6 O 2.12-2.24
In: 0.7500 0.8269 0.2606  6 O 2.12-2.24
In: 0.2500 0.1731 0.7394  6 O 2.12-2.24
O: 0.2500 0.2403 0.3195  1 Ti 1.82
O: 0.7500 0.7597 0.6805  1 Ti 1.82
O: 0.2500 0.7403 0.1805  1 Ti 1.82
O: 0.7500 0.2597 0.8195  1 Ti 1.82
O: 0.2500 0.3459 0.4958  1 Ti 2.05, 3 In 2.19-2.23
O: 0.7500 0.6541 0.5042  1 Ti 2.05, 3 In 2.19-2.23
O: 0.2500 0.8459 0.0042  1 Ti 2.05, 3 In 2.19-2.23
O: 0.7500 0.1541 0.9958  1 Ti 2.05, 3 In 2.19-2.23
O: 0.2500 0.3712 0.1486  1 Ti 2.02, 3 In 2.20-2.24
O: 0.7500 0.6288 0.8514  1 Ti 2.02, 3 In 2.20-2.24
O: 0.2500 0.8712 0.3514  1 Ti 2.02, 3 In 2.20-2.24
O: 0.7500 0.1288 0.6486  1 Ti 2.02, 3 In 2.20-2.24
O: 0.7500 0.0600 0.1753  4 In 2.12-2.24
O: 0.2500 0.9400 0.8247  4 In 2.12-2.24
O: 0.7500 0.5600 0.3247  4 In 2.12-2.24
O: 0.2500 0.4400 0.6753  4 In 2.12-2.24
O: 0.7500 0.0733 0.4554  2 Ti 1.84
O: 0.2500 0.9267 0.5446  2 Ti 1.84
O: 0.7500 0.5733 0.0446  2 Ti 1.84
O: 0.2500 0.4267 0.9554  2 Ti 1.84

=====

Entry 4:
Here is a PBEsol-optimized structure of KLiAgSb2 from the Alexandria database. Energies are from meta-GGA SCAN.

Summary:
VASP energy: -116.1 eV/f.u.
space-group type: P4/mmm (123)
ρ: 4050 kg/m³
formation energy (no corrections): 2.3 kcal/mol of atoms

a = 5.3621 Å, b = 5.3621 Å, c = 5.6680 Å
α = 90.00°, β = 90.00°, γ = 90.00°
Closest atoms and distances in Å follow each position.
Fractional coordinates of all 5 atoms:
Sb: 0.0000 0.5000 0.0000  2 Ag 2.68
Sb: 0.5000 0.0000 0.0000  2 Ag 2.68
K: 0.0000 0.0000 0.5000  2 Ag 2.83
Ag: 0.0000 0.0000 0.0000  4 Sb 2.68, 2 K 2.83
Li: 0.5000 0.5000 0.5000  4 K 3.79, 8 Sb 3.90

=====

Look up the ρ of the second one.
13695 kg/m³

=====

What is the formula in the second record?
Hg4Pt